Entry 1:
Here is a relaxed structure of NaNpCo2O6 from Alexandria. Energies are from PBE with a Hubbard U.

Computed properties:
Symmetry: P1
Magnetization, μB per formula unit: 2.0
Final energy, eV/cell: -71.93
Density of states at the Fermi level, states/eV per atom: 0.01

POSCAR file:
```
NaNpCo2O6
1.0
5.259 -0.001 0.009
2.629 4.554 0.000
2.629 1.519 4.936
O Np Na Co
6 1 1 2
direct
0.910 0.628 0.226 O
0.628 0.237 0.226 O
0.740 0.138 0.773 O
0.236 0.910 0.225 O
0.349 0.740 0.773 O
0.139 0.349 0.773 O
0.323 0.323 0.030 Np
0.803 0.803 0.591 Na
0.003 0.003 0.991 Co
0.530 0.531 0.407 Co
```

Entry 2:
Here is a relaxed structure of NaNpCo2O8 from Alexandria. Energies are from PBE with a Hubbard U.

Computed properties:
Symmetry: I-4m2
Magnetization, μB per formula unit: 6.0
Final energy, eV/cell: -80.05
Density of states at the Fermi level, states/eV per atom: 0.10

POSCAR file:
```
NaNpCo2O8
1.0
-0.990 -5.409 -2.028
5.426 0.694 2.106
-3.760 0.980 4.389
O Co Na Np
8 2 1 1
direct
0.514 0.687 0.828 O
0.361 0.074 0.287 O
0.859 0.687 0.172 O
0.786 0.074 0.713 O
0.313 0.141 0.828 O
0.926 0.214 0.287 O
0.313 0.486 0.172 O
0.926 0.639 0.713 O
0.750 0.250 0.500 Co
0.500 0.500 0.000 Co
0.250 0.750 0.500 Na
0.000 0.000 0.000 Np
```

Entry 3:
Here is a relaxed structure of Na2NpCoO4 from Alexandria. Energies are from PBE with a Hubbard U.

Computed properties:
Symmetry: P2/m
Magnetization, μB per formula unit: 3.9
Final energy, eV/cell: -56.18
Density of states at the Fermi level, states/eV per atom: 0.44

POSCAR file:
```
Na2NpCoO4
1.0
3.421 0.000 0.000
0.000 5.259 0.097
0.000 -1.817 5.572
Np Na O Co
1 2 4 1
direct
0.500 0.500 0.000 Np
0.500 0.000 0.500 Na
0.000 0.500 0.500 Na
0.000 0.268 0.783 O
0.000 0.732 0.217 O
0.500 0.740 0.781 O
0.500 0.260 0.219 O
0.000 0.000 0.000 Co
```

Entry 4:
Here is a relaxed structure of Na2NpCo2O6 from Alexandria. Energies are from PBE with a Hubbard U.

Computed properties:
Symmetry: C2/m
Magnetization, μB per formula unit: 3.0
Final energy, eV/cell: -75.21
Density of states at the Fermi level, states/eV per atom: 0.09

POSCAR file:
```
Na2NpCo2O6
1.0
-1.705 0.375 -4.952
-3.637 -1.120 3.618
1.315 5.821 1.312
Co O Na Np
2 6 2 1
direct
0.663 0.337 0.500 Co
0.337 0.663 0.500 Co
0.733 0.733 0.685 O
0.267 0.267 0.315 O
0.963 0.614 0.295 O
0.614 0.963 0.295 O
0.037 0.386 0.705 O
0.386 0.037 0.705 O
0.177 0.823 0.000 Na
0.823 0.177 0.000 Na
0.000 0.000 0.500 Np
```